# 1
# CoNiPd, optimized geometry, DFT PBE-GGA
# space-group type = I4mm, No. 107
# density = 9.9 g/cm³
# formation enthalpy at 0 K = 0.0379 eV per atom
# calculated total energy = -5.989 eV per atom
# energy relative to the lowest polymorph listed for this composition = 0.015 eV/atom
data_CoNiPd
_symmetry_space_group_name_H-M 'P 1'
_symmetry_Int_Tables_number 1
_cell_length_a 2.6348
_cell_length_b 2.6348
_cell_length_c 5.7354
_cell_angle_alpha 103.28
_cell_angle_beta 103.28
_cell_angle_gamma 90.00
loop_
_symmetry_equiv_pos_as_xyz
'x,y,z'
loop_
_atom_site_label
_atom_site_fract_x
_atom_site_fract_y
_atom_site_fract_z
Ni1 0.3231 0.3231 0.6462
Co1 0.6758 0.6758 0.3515
Pd1 0.0012 0.0012 0.0023

***

# 2
# SmInCu, optimized geometry, DFT PBE-GGA
# space-group type = R-3m, No. 166
# density = 7.6 g/cm³
# formation enthalpy at 0 K = -0.2655 eV per atom
# calculated total energy = -4.117 eV per atom
data_SmInCu
_symmetry_space_group_name_H-M 'P 1'
_symmetry_Int_Tables_number 1
_cell_length_a 4.6602
_cell_length_b 4.6653
_cell_length_c 8.0806
_cell_angle_alpha 106.81
_cell_angle_beta 90.00
_cell_angle_gamma 119.96
loop_
_symmetry_equiv_pos_as_xyz
'x,y,z'
loop_
_atom_site_label
_atom_site_fract_x
_atom_site_fract_y
_atom_site_fract_z
Sm1 0.7437 0.4875 0.2307
Sm2 0.2563 0.5125 0.7693
In1 0.5000 0.0000 0.5000
In2 0.0000 0.0000 0.0000
Cu1 0.1291 0.2583 0.3867
Cu2 0.8709 0.7417 0.6133

***

# 3
# LiPm3Si3, optimized geometry, DFT PBE-GGA
# space-group type = C2/m, No. 12
# density = 5.6 g/cm³
# calculated total energy = -5.299 eV per atom
# formation energy from raw total energies = -0.67 eV per atom
data_LiPm3Si3
_symmetry_space_group_name_H-M 'P 1'
_symmetry_Int_Tables_number 1
_cell_length_a 4.3768
_cell_length_b 5.8670
_cell_length_c 13.4043
_cell_angle_alpha 84.51
_cell_angle_beta 80.60
_cell_angle_gamma 68.10
loop_
_symmetry_equiv_pos_as_xyz
'x,y,z'
loop_
_atom_site_label
_atom_site_fract_x
_atom_site_fract_y
_atom_site_fract_z
Li1 0.7532 0.0894 0.4043
Li2 0.2468 0.9106 0.5957
Pm1 0.5393 0.3030 0.6184
Pm2 0.4607 0.6970 0.3816
Pm3 0.2535 0.2716 0.2213
Pm4 0.7465 0.7284 0.7787
Pm5 0.3940 0.2875 0.9246
Pm6 0.6060 0.7125 0.0754
Si1 0.8827 0.6848 0.5499
Si2 0.1173 0.3152 0.4501
Si3 0.1064 0.8627 0.9245
Si4 0.8936 0.1373 0.0755
Si5 0.9606 0.8534 0.2254
Si6 0.0394 0.1466 0.7746